VASP calculation (PBE) on a relaxed structure of RbSrBiBr6.

a b c (Å): 7.7814 7.7814 14.9261
angles (deg): 90.00 90.00 120.00
With the nearest neighbours (Å) after each atom.
Element x y z (fractional)
Rb1 0.0000 0.0000 0.0000  6 Br 3.54
Rb2 0.0000 0.0000 0.5000  6 Br 3.54
Sr1 0.3333 0.6667 0.2500  6 Br 3.07
Sr2 0.6667 0.3333 0.7500  6 Br 3.07
Bi1 0.3333 0.6667 0.7500  6 Br 2.90
Bi2 0.6667 0.3333 0.2500  6 Br 2.90
Br1 0.0174 0.3792 0.6370  1 Bi 2.90, 1 Sr 3.07
Br2 0.0174 0.6382 0.8630  1 Bi 2.90, 1 Sr 3.07
Br3 0.3618 0.3792 0.8630  1 Bi 2.90, 1 Sr 3.07
Br4 0.3618 0.9826 0.6370  1 Bi 2.90, 1 Sr 3.07
Br5 0.3792 0.0174 0.1370  1 Bi 2.90, 1 Sr 3.07
Br6 0.3792 0.3618 0.3630  1 Bi 2.90, 1 Sr 3.07
Br7 0.6208 0.6382 0.6370  1 Bi 2.90, 1 Sr 3.07
Br8 0.6208 0.9826 0.8630  1 Bi 2.90, 1 Sr 3.07
Br9 0.6382 0.0174 0.3630  1 Bi 2.90, 1 Sr 3.07
Br10 0.6382 0.6208 0.1370  1 Bi 2.90, 1 Sr 3.07
Br11 0.9826 0.3618 0.1370  1 Bi 2.90, 1 Sr 3.07
Br12 0.9826 0.6208 0.3630  1 Bi 2.90, 1 Sr 3.07

Summary:
- Formation energy without anion corrections: -1.45 eV per atom
- Uncorrected energy: -59.2 eV/cell
- Total moment: 0.0 μB per cell
- Crystal system: trigonal
- Fermi-level density of states: 0.00 states/eV per atom
- Calculated density: 3.66 g cm⁻³
- Space group: P-31c (163)

=====

VASP calculation (PBE) on a relaxed structure of RbTaBiBr2.

a b c (Å): 6.2481 6.2481 5.5232
angles (deg): 90.00 90.00 90.00
With the nearest neighbours (Å) after each atom.
Element x y z (fractional)
Rb1 0.0000 0.0000 0.0000  8 Br 4.17, 4 Ta 4.42
Ta1 0.5000 0.5000 0.0000  2 Bi 2.76
Bi1 0.5000 0.5000 0.5000  2 Ta 2.76
Br1 0.0000 0.5000 0.5000  2 Bi 3.12
Br2 0.5000 0.0000 0.5000  2 Bi 3.12

Summary:
- Formation energy without anion corrections: 0.37 eV per atom
- Uncorrected energy: -18.2 eV/cell
- Total moment: 3.5 μB per cell
- Crystal system: tetragonal
- Fermi-level density of states: 1.11 states/eV per atom
- Calculated density: 4.89 g cm⁻³
- Space group: P4/mmm (123)

=====

VASP calculation (PBE) on a relaxed structure of RbTcBiBr2.

a b c (Å): 6.0876 6.0876 6.7620
angles (deg): 90.00 90.00 90.00
With the nearest neighbours (Å) after each atom.
Element x y z (fractional)
Rb1 0.0000 0.0000 0.0000  4 Br 3.04, 2 Bi 3.38
Tc1 0.5000 0.5000 0.5000  4 Bi 4.30, 8 Br 4.55
Bi1 0.0000 0.0000 0.5000  2 Rb 3.38
Br1 0.0000 0.5000 0.0000  2 Rb 3.04
Br2 0.5000 0.0000 0.0000  2 Rb 3.04

Summary:
- Formation energy without anion corrections: 1.03 eV per atom
- Uncorrected energy: -13.4 eV/cell
- Total moment: 3.0 μB per cell
- Crystal system: tetragonal
- Fermi-level density of states: 0.29 states/eV per atom
- Calculated density: 3.66 g cm⁻³
- Space group: P4/mmm (123)

=====

VASP calculation (PBE) on a relaxed structure of RbTi2BiBr.

a b c (Å): 5.4187 5.4187 7.4391
angles (deg): 90.00 90.00 90.00
With the nearest neighbours (Å) after each atom.
Element x y z (fractional)
Rb1 0.0000 0.0000 0.0000  2 Bi 3.72, 4 Br 3.83
Ti1 0.0000 0.5000 0.5000  2 Bi 2.71
Ti2 0.5000 0.0000 0.5000  2 Bi 2.71
Bi1 0.0000 0.0000 0.5000  4 Ti 2.71
Br1 0.5000 0.5000 0.0000  4 Rb 3.83

Summary:
- Formation energy without anion corrections: 0.40 eV per atom
- Uncorrected energy: -20.3 eV/cell
- Total moment: 5.0 μB per cell
- Crystal system: tetragonal
- Fermi-level density of states: 0.62 states/eV per atom
- Calculated density: 3.57 g cm⁻³
- Space group: P4/mmm (123)

=====

VASP calculation (PBE) on a relaxed structure of RbTlBiBr6.

a b c (Å): 7.6837 7.6837 7.5531
angles (deg): 90.00 90.00 120.00
With the nearest neighbours (Å) after each atom.
Element x y z (fractional)
Rb1 0.0000 0.0000 0.0000  6 Br 3.54
Tl1 0.6667 0.3333 0.5000  6 Br 3.04
Bi1 0.3333 0.6667 0.5000  6 Br 2.90
Br1 0.0140 0.3809 0.7276  1 Bi 2.90, 1 Tl 3.04
Br2 0.0140 0.6330 0.2724  1 Bi 2.90, 1 Tl 3.04
Br3 0.3670 0.3809 0.2724  1 Bi 2.90, 1 Tl 3.04
Br4 0.3670 0.9860 0.7276  1 Bi 2.90, 1 Tl 3.04
Br5 0.6191 0.6330 0.7276  1 Bi 2.90, 1 Tl 3.04
Br6 0.6191 0.9860 0.2724  1 Bi 2.90, 1 Tl 3.04

Summary:
- Formation energy without anion corrections: -0.90 eV per atom
- Uncorrected energy: -25.3 eV/cell
- Total moment: 0.0 μB per cell
- Crystal system: trigonal
- Fermi-level density of states: 0.74 states/eV per atom
- Calculated density: 4.21 g cm⁻³
- Space group: P312 (149)

=====

VASP calculation (PBE) on a relaxed structure of RbTl2BiBr6.

a b c (Å): 8.2924 8.2992 8.6194
angles (deg): 61.24 61.25 60.03
With the nearest neighbours (Å) after each atom.
Element x y z (fractional)
Rb1 0.0000 0.0000 0.0000  6 Br 3.40-3.57
Tl1 0.2862 0.2868 0.1404  6 Br 3.37-3.40
Tl2 0.7977 0.7983 0.6062  6 Br 3.32-3.44
Bi1 0.4880 0.4883 0.5355  6 Br 2.90-2.91
Br1 0.1303 0.4034 0.7902  1 Bi 2.91
Br2 0.2500 0.8372 0.3179  1 Bi 2.90
Br3 0.4029 0.6756 0.7907  1 Bi 2.91
Br4 0.5950 0.2504 0.3177  1 Bi 2.90
Br5 0.6752 0.1310 0.7906  1 Bi 2.91
Br6 0.8371 0.5951 0.3183  1 Bi 2.90

Summary:
- Formation energy without anion corrections: -1.00 eV per atom
- Uncorrected energy: -29.7 eV/cell
- Total moment: 0.0 μB per cell
- Crystal system: triclinic
- Fermi-level density of states: 0.00 states/eV per atom
- Calculated density: 4.60 g cm⁻³
- Space group: P1 (1)

=====

VASP calculation (PBE) on a relaxed structure of Rb2TlBiBr6.

a b c (Å): 8.5057 8.5057 8.5057
angles (deg): 60.00 60.00 60.00
With the nearest neighbours (Å) after each atom.
Element x y z (fractional)
Rb1 0.2500 0.2500 0.2500  12 Br 4.26
Rb2 0.7500 0.7500 0.7500  12 Br 4.26
Tl1 0.0000 0.0000 0.0000  6 Br 3.15
Bi1 0.5000 0.5000 0.5000  6 Br 2.87
Br1 0.2615 0.2615 0.7385  1 Bi 2.87, 1 Tl 3.15
Br2 0.2615 0.7385 0.2615  1 Bi 2.87, 1 Tl 3.15
Br3 0.2615 0.7385 0.7385  1 Bi 2.87, 1 Tl 3.15
Br4 0.7385 0.2615 0.2615  1 Bi 2.87, 1 Tl 3.15
Br5 0.7385 0.2615 0.7385  1 Bi 2.87, 1 Tl 3.15
Br6 0.7385 0.7385 0.2615  1 Bi 2.87, 1 Tl 3.15

Summary:
- Formation energy without anion corrections: -1.16 eV per atom
- Relative energy among the computed polymorphs: 49.9 meV/atom
- Uncorrected energy: -29.8 eV/cell
- Total moment: 0.0 μB per cell
- Crystal system: cubic
- Fermi-level density of states: 0.00 states/eV per atom
- Calculated density: 4.06 g cm⁻³
- Space group: Fm-3m (225)

=====

VASP calculation (PBE) on a relaxed structure of Rb2TlBiBr6.

a b c (Å): 8.1035 8.6308 14.1819
angles (deg): 90.00 124.38 90.00
With the nearest neighbours (Å) after each atom.
Element x y z (fractional)
Rb1 0.2191 0.0785 0.2481  6 Br 3.51-3.74
Rb2 0.2191 0.4215 0.7481  6 Br 3.51-3.74
Rb3 0.7809 0.5785 0.2519  6 Br 3.51-3.74
Rb4 0.7809 0.9215 0.7519  6 Br 3.51-3.74
Tl1 0.0000 0.0000 0.5000  6 Br 3.29-3.33
Tl2 0.0000 0.5000 0.0000  6 Br 3.29-3.33
Bi1 0.5000 0.0000 0.0000  6 Br 2.89-2.90
Bi2 0.5000 0.5000 0.5000  6 Br 2.89-2.90
Br1 0.1565 0.1814 0.9458  1 Bi 2.89
Br2 0.1565 0.3186 0.4458  1 Bi 2.89
Br3 0.2643 0.7185 0.9377  1 Bi 2.90
Br4 0.2643 0.7815 0.4377  1 Bi 2.90
Br5 0.3828 0.0390 0.7673  1 Bi 2.89
Br6 0.3828 0.4610 0.2673  1 Bi 2.89
Br7 0.6172 0.5390 0.7327  1 Bi 2.89
Br8 0.6172 0.9610 0.2327  1 Bi 2.89
Br9 0.7357 0.2185 0.5623  1 Bi 2.90
Br10 0.7357 0.2815 0.0623  1 Bi 2.90
Br11 0.8435 0.6814 0.5542  1 Bi 2.89
Br12 0.8435 0.8186 0.0542  1 Bi 2.89

Summary:
- Formation energy without anion corrections: -1.21 eV per atom
- Relative energy among the computed polymorphs: 0.0 meV/atom
- Uncorrected energy: -60.6 eV/cell
- Total moment: 0.0 μB per cell
- Crystal system: monoclinic
- Fermi-level density of states: 0.00 states/eV per atom
- Calculated density: 4.32 g cm⁻³
- Space group: P2_1/c (14)

=====

VASP calculation (PBE) on a relaxed structure of Rb2BiWBr6.

a b c (Å): 8.0955 8.0955 8.0955
angles (deg): 119.38 119.38 91.07
With the nearest neighbours (Å) after each atom.
Element x y z (fractional)
Rb1 0.2500 0.7500 0.5000  12 Br 4.06-4.09
Rb2 0.7500 0.2500 0.5000  12 Br 4.06-4.09
Bi1 0.0000 0.0000 0.0000  6 Br 3.03-3.14
W1 0.5000 0.5000 0.0000  6 Br 2.64
Br1 0.2668 0.2668 0.0000  1 W 2.64
Br2 0.2720 0.2720 0.5439  1 W 2.64
Br3 0.2720 0.7280 0.0000  1 W 2.64
Br4 0.7280 0.2720 0.0000  1 W 2.64
Br5 0.7280 0.7280 0.4561  1 W 2.64
Br6 0.7332 0.7332 0.0000  1 W 2.64

Summary:
- Formation energy without anion corrections: -0.69 eV per atom
- Uncorrected energy: -35.7 eV/cell
- Total moment: 5.0 μB per cell
- Crystal system: tetragonal
- Fermi-level density of states: 0.29 states/eV per atom
- Calculated density: 4.58 g cm⁻³
- Space group: I4/mmm (139)

=====

VASP calculation (PBE) on a relaxed structure of Rb2YBiBr6.

a b c (Å): 8.8822 8.8822 8.8822
angles (deg): 126.05 126.05 79.81
With the nearest neighbours (Å) after each atom.
Element x y z (fractional)
Rb1 0.2500 0.7500 0.5000  12 Br 4.07-4.44
Rb2 0.7500 0.2500 0.5000  12 Br 4.07-4.44
Y1 0.0000 0.0000 0.0000  6 Br 2.79-2.80
Bi1 0.5000 0.5000 0.0000  4 Br 2.91
Br1 0.2053 0.2053 0.0000  1 Y 2.80
Br2 0.2446 0.2446 0.4892  1 Y 2.79, 1 Bi 2.91
Br3 0.2446 0.7554 0.0000  1 Y 2.79, 1 Bi 2.91
Br4 0.7554 0.2446 0.0000  1 Y 2.79, 1 Bi 2.91
Br5 0.7554 0.7554 0.5108  1 Y 2.79, 1 Bi 2.91
Br6 0.7947 0.7947 0.0000  1 Y 2.80

Summary:
- Formation energy without anion corrections: -1.34 eV per atom
- Uncorrected energy: -35.7 eV/cell
- Total moment: 0.0 μB per cell
- Crystal system: tetragonal
- Fermi-level density of states: 0.00 states/eV per atom
- Calculated density: 3.56 g cm⁻³
- Space group: I4/mmm (139)

=====

VASP calculation (PBE) on a relaxed structure of RbZnBiBr6.

a b c (Å): 7.2319 7.2319 7.6631
angles (deg): 90.00 90.00 120.00
With the nearest neighbours (Å) after each atom.
Element x y z (fractional)
Rb1 0.0000 0.0000 0.0000  6 Br 3.51
Zn1 0.6667 0.3333 0.5000  6 Br 2.67
Bi1 0.3333 0.6667 0.5000  6 Br 2.89
Br1 0.3846 0.0241 0.7068  1 Zn 2.67, 1 Bi 2.89
Br2 0.3846 0.3604 0.2932  1 Zn 2.67, 1 Bi 2.89
Br3 0.6396 0.0241 0.2932  1 Zn 2.67, 1 Bi 2.89
Br4 0.6396 0.6154 0.7068  1 Zn 2.67, 1 Bi 2.89
Br5 0.9759 0.3604 0.7068  1 Zn 2.67, 1 Bi 2.89
Br6 0.9759 0.6154 0.2932  1 Zn 2.67, 1 Bi 2.89

Summary:
- Formation energy without anion corrections: -0.99 eV per atom
- Uncorrected energy: -25.1 eV/cell
- Total moment: 0.0 μB per cell
- Crystal system: trigonal
- Fermi-level density of states: 0.00 states/eV per atom
- Calculated density: 4.02 g cm⁻³
- Space group: P312 (149)

=====

VASP calculation (PBE) on a relaxed structure of Rb2ZnBiBr6.

a b c (Å): 7.9665 7.9665 7.9665
angles (deg): 119.73 119.73 90.48
With the nearest neighbours (Å) after each atom.
Element x y z (fractional)
Rb1 0.2500 0.7500 0.5000  12 Br 3.98-4.00
Rb2 0.7500 0.2500 0.5000  12 Br 3.98-4.00
Zn1 0.0000 0.0000 0.0000  6 Br 2.68-2.74
Bi1 0.5000 0.5000 0.0000  6 Br 2.91-2.93
Br1 0.2391 0.2391 0.0000  1 Zn 2.68, 1 Bi 2.93
Br2 0.2426 0.2426 0.4852  1 Zn 2.74, 1 Bi 2.91
Br3 0.2426 0.7574 0.0000  1 Zn 2.74, 1 Bi 2.91
Br4 0.7574 0.2426 0.0000  1 Zn 2.74, 1 Bi 2.91
Br5 0.7574 0.7574 0.5148  1 Zn 2.74, 1 Bi 2.91
Br6 0.7609 0.7609 0.0000  1 Zn 2.68, 1 Bi 2.93

Summary:
- Formation energy without anion corrections: -1.07 eV per atom
- Uncorrected energy: -27.9 eV/cell
- Total moment: 0.0 μB per cell
- Crystal system: tetragonal
- Fermi-level density of states: 0.26 states/eV per atom
- Calculated density: 4.28 g cm⁻³
- Space group: I4/mmm (139)